Run 1
First-principles (PBE) data for Er2PaCo3 after structural relaxation, as listed in Alexandria via LeMat-Bulk.

Cell lengths 6.439, 3.746, 19.343 Å; angles 90.00, 90.00, 90.00 degrees
Space group Pnma (No. 62)
Inequivalent atoms, fractional coordinates:
Er: 0.126 0.250 0.097 (multiplicity 4)
Er: 0.238 0.250 0.279 (multiplicity 4)
Pa: 0.106 0.750 0.427 (multiplicity 4)
Co: 0.047 0.750 0.203 (multiplicity 4)
Co: 0.088 0.250 0.668 (multiplicity 4)
Co: 0.228 0.750 0.992 (multiplicity 4)

Properties
- crystal system = orthorhombic
- V (Å³ per atom) = 19.44

Run 2
First-principles (PBE) data for Er2PaCo3 after structural relaxation, as listed in Alexandria via LeMat-Bulk.

Cell lengths 14.117, 4.984, 6.351 Å; angles 90.00, 90.00, 90.00 degrees
Space group Cmcm (No. 63)
Inequivalent atoms, fractional coordinates:
Er: 0.168 0.000 0.000 (multiplicity 8)
Pa: 0.000 0.366 0.250 (multiplicity 4)
Co: 0.000 0.143 0.750 (multiplicity 4)
Co: 0.158 0.497 0.750 (multiplicity 8)

Properties
- crystal system = orthorhombic
- V (Å³ per atom) = 18.62

Most stable structure - run 2; separation to the second - 20 meV per atom.

Run 1
First-principles (PBE) data for Er3CoPb after structural relaxation, as listed in Alexandria via LeMat-Bulk.

Cell lengths 9.955, 14.597, 3.693 Å; angles 90.00, 90.00, 90.00 degrees
Space group Cmmm (No. 65)
Inequivalent atoms, fractional coordinates:
Er: 0.000 0.196 0.000 (multiplicity 4)
Er: 0.208 0.373 0.500 (multiplicity 8)
Co: 0.250 0.250 0.000 (multiplicity 4)
Pb: 0.000 0.000 0.500 (multiplicity 2)
Pb: 0.000 0.500 0.000 (multiplicity 2)

Properties
- crystal system = orthorhombic
- V (Å³ per atom) = 26.83

Run 2
First-principles (PBE) data for Er3CoPb after structural relaxation, as listed in Alexandria via LeMat-Bulk.

Cell lengths 7.3923, 7.3923, 5.4272 Å; angles 90.00, 90.00, 120.00 degrees
Space group P6_3/mmc (No. 194)
Inequivalent atoms, fractional coordinates:
Er: 0.1727 0.3454 0.2500 (multiplicity 6)
Co: 0.0000 0.0000 0.0000 (multiplicity 2)
Pb: 0.3333 0.6667 0.7500 (multiplicity 2)

Properties
- crystal system = hexagonal
- V (Å³ per atom) = 25.69

Most stable structure - run 2; separation to the second - 98 meV per atom.

Run 1
First-principles (PBE) data for Er8CoPd2 after structural relaxation, as listed in Alexandria via LeMat-Bulk.

Cell lengths 17.026, 5.027, 6.634 Å; angles 90.00, 105.93, 90.00 degrees
Space group C2/m (No. 12)
Inequivalent atoms, fractional coordinates:
Er: 0.031 0.000 0.292 (multiplicity 4)
Er: 0.089 0.500 0.936 (multiplicity 4)
Er: 0.162 0.500 0.471 (multiplicity 4)
Er: 0.203 0.000 0.815 (multiplicity 4)
Co: 0.000 0.500 0.500 (multiplicity 2)
Pd: 0.188 0.000 0.221 (multiplicity 4)

Properties
- crystal system = monoclinic
- V (Å³ per atom) = 24.82

Run 2
First-principles (PBE) data for Er8CoPd2 after structural relaxation, as listed in Alexandria via LeMat-Bulk.

Cell lengths 8.130, 12.993, 5.962 Å; angles 90.00, 113.49, 90.00 degrees
Space group Cm (No. 8)
Inequivalent atoms, fractional coordinates:
Er: 0.000 0.000 0.000 (multiplicity 2)
Er: 0.066 0.374 0.815 (multiplicity 4)
Er: 0.132 0.125 0.586 (multiplicity 4)
Er: 0.201 0.500 0.370 (multiplicity 2)
Er: 0.354 0.195 0.189 (multiplicity 4)
Co: 0.352 0.000 0.999 (multiplicity 2)
Pd: 0.342 0.307 0.682 (multiplicity 4)

Properties
- crystal system = monoclinic
- V (Å³ per atom) = 26.25

Most stable structure - run 1; separation to the second - 93 meV per atom.

Run 1
First-principles (PBE) data for Er8Co2Pd after structural relaxation, as listed in Alexandria via LeMat-Bulk.

Cell lengths 8.198, 12.281, 5.742 Å; angles 90.00, 106.87, 90.00 degrees
Space group Cm (No. 8)
Inequivalent atoms, fractional coordinates:
Er: 0.000 0.000 0.000 (multiplicity 2)
Er: 0.073 0.368 0.785 (multiplicity 4)
Er: 0.162 0.132 0.595 (multiplicity 4)
Er: 0.240 0.500 0.379 (multiplicity 2)
Er: 0.368 0.226 0.188 (multiplicity 4)
Co: 0.368 0.309 0.689 (multiplicity 4)
Pd: 0.370 0.000 0.068 (multiplicity 2)

Properties
- crystal system = monoclinic
- V (Å³ per atom) = 25.15

Run 2
First-principles (PBE) data for Er8Co2Pd after structural relaxation, as listed in Alexandria via LeMat-Bulk.

Cell lengths 17.013, 4.886, 6.650 Å; angles 90.00, 106.61, 90.00 degrees
Space group C2/m (No. 12)
Inequivalent atoms, fractional coordinates:
Er: 0.037 0.000 0.283 (multiplicity 4)
Er: 0.096 0.500 0.964 (multiplicity 4)
Er: 0.174 0.500 0.477 (multiplicity 4)
Er: 0.202 0.000 0.825 (multiplicity 4)
Co: 0.188 0.000 0.213 (multiplicity 4)
Pd: 0.000 0.500 0.500 (multiplicity 2)

Properties
- crystal system = monoclinic
- V (Å³ per atom) = 24.08

Most stable structure - run 2; separation to the second - 52 meV per atom.

Run 1
First-principles (PBE) data for PrErCo after structural relaxation, as listed in Alexandria via LeMat-Bulk.

Cell lengths 6.737, 6.737, 6.737 Å; angles 90.00, 90.00, 90.00 degrees
Space group F-43m (No. 216)
Inequivalent atoms, fractional coordinates:
Pr: 0.000 0.000 0.000 (multiplicity 4)
Er: 0.000 0.000 0.500 (multiplicity 4)
Co: 0.250 0.250 0.750 (multiplicity 4)

Properties
- crystal system = cubic
- V (Å³ per atom) = 25.48

Run 2
First-principles (PBE) data for PrErCo after structural relaxation, as listed in Alexandria via LeMat-Bulk.

Cell lengths 3.9513, 3.9513, 6.2128 Å; angles 90.00, 90.00, 120.00 degrees
Space group P3m1 (No. 156)
Inequivalent atoms, fractional coordinates:
Pr: 0.0000 0.0000 0.0000 (multiplicity 1)
Er: 0.3333 0.6667 0.5358 (multiplicity 1)
Co: 0.6667 0.3333 0.7562 (multiplicity 1)

Properties
- crystal system = trigonal
- V (Å³ per atom) = 28.00

Run 3
First-principles (PBE) data for PrErCo after structural relaxation, as listed in Alexandria via LeMat-Bulk.

Cell lengths 6.224, 3.739, 6.869 Å; angles 90.00, 92.50, 90.00 degrees
Space group P2_1/m (No. 11)
Inequivalent atoms, fractional coordinates:
Pr: 0.137 0.250 0.307 (multiplicity 2)
Er: 0.356 0.250 0.807 (multiplicity 2)
Co: 0.389 0.750 0.529 (multiplicity 2)

Properties
- crystal system = monoclinic
- V (Å³ per atom) = 26.62

Run 4
First-principles (PBE) data for PrErCo after structural relaxation, as listed in Alexandria via LeMat-Bulk.

Cell lengths 3.416, 3.416, 12.882 Å; angles 90.00, 90.00, 90.00 degrees
Space group I4mm (No. 107)
Inequivalent atoms, fractional coordinates:
Pr: 0.000 0.000 0.000 (multiplicity 2)
Er: 0.000 0.000 0.256 (multiplicity 2)
Co: 0.000 0.000 0.640 (multiplicity 2)

Properties
- crystal system = tetragonal
- V (Å³ per atom) = 25.06

Most stable structure - run 3; separation to the second - 17 meV per atom.

Run 1
First-principles (PBE) data for PrErCo2 after structural relaxation, as listed in Alexandria via LeMat-Bulk.

Cell lengths 3.404, 3.404, 6.808 Å; angles 90.00, 90.00, 90.00 degrees
Space group P4/mmm (No. 123)
Inequivalent atoms, fractional coordinates:
Pr: 0.000 0.000 0.000 (multiplicity 1)
Er: 0.000 0.000 0.500 (multiplicity 1)
Co: 0.500 0.500 0.267 (multiplicity 2)

Properties
- crystal system = tetragonal
- V (Å³ per atom) = 19.73

Run 2
First-principles (PBE) data for PrErCo2 after structural relaxation, as listed in Alexandria via LeMat-Bulk.

Cell lengths 3.889, 5.689, 7.622 Å; angles 90.00, 90.00, 90.00 degrees
Space group Pmc2_1 (No. 26)
Inequivalent atoms, fractional coordinates:
Pr: 0.000 0.131 0.000 (multiplicity 2)
Er: 0.500 0.372 0.643 (multiplicity 2)
Co: 0.000 0.366 0.355 (multiplicity 2)
Co: 0.500 0.176 0.300 (multiplicity 2)

Properties
- crystal system = orthorhombic
- V (Å³ per atom) = 21.08

Most stable structure - run 2; separation to the second - 90 meV per atom.